{"formula": "Sr2AlIn", "functional": "GGA-PBE", "state": "relaxed", "energy_ev_per_atom": -2.50, "volume_a3_per_atom": 35.25, "lattice": [[10.689, 0.007, 0.004], [9.957, 3.887, 0.004], [9.957, 1.878, 3.403]], "species": ["Sr", "Sr", "In", "Al"], "fractional_positions": [[0.502, 0.502, 0.502], [0.998, 0.998, 0.998], [0.750, 0.750, 0.750], [0.250, 0.250, 0.250]]}



{"formula": "RbTeOF4", "functional": "GGA-PBE", "state": "relaxed", "formation_energy_uncorrected_ev_per_atom": -1.940, "volume_a3_per_atom": 19.83, "lattice": [[-4.290, -0.169, 7.322], [-3.103, -4.814, 6.265], [11.775, 1.348, 7.301]], "species": ["O", "O", "O", "O", "F", "F", "F", "F", "F", "F", "F", "F", "F", "F", "F", "F", "F", "F", "F", "F", "Rb", "Rb", "Rb", "Rb", "Te", "Te", "Te", "Te"], "fractional_positions": [[0.882, 0.303, 0.469], [0.960, 0.489, 0.735], [0.489, 0.960, 0.235], [0.303, 0.882, 0.969], [0.945, 0.018, 0.856], [0.908, 0.774, 0.605], [0.837, 0.355, 0.985], [0.494, 0.956, 0.715], [0.018, 0.945, 0.356], [0.983, 0.070, 0.643], [0.579, 0.312, 0.504], [0.774, 0.908, 0.105], [0.355, 0.837, 0.485], [0.070, 0.983, 0.143], [0.258, 0.482, 0.772], [0.956, 0.494, 0.215], [0.482, 0.258, 0.272], [0.777, 0.798, 0.893], [0.798, 0.777, 0.393], [0.312, 0.579, 0.004], [0.285, 0.235, 0.515], [0.235, 0.285, 0.015], [0.589, 0.527, 0.268], [0.527, 0.589, 0.768], [0.807, 0.837, 0.252], [0.004, 0.989, 0.503], [0.989, 0.004, 0.003], [0.837, 0.807, 0.752]]}



{"formula": "KFe2Au", "functional": "GGA-PBE", "state": "relaxed", "energy_ev_per_atom": -4.91, "volume_a3_per_atom": 19.42, "lattice": [[-0.923, 1.974, -2.156], [-2.889, -0.960, 0.358], [-1.198, 5.769, 5.795]], "species": ["K", "Fe", "Fe", "Au"], "fractional_positions": [[0.000, 0.000, 0.498], [0.000, 0.000, 0.027], [0.500, 0.500, 0.159], [0.500, 0.500, 0.816]]}



{"formula": "AlOs", "functional": "GGA-PBE", "state": "relaxed", "energy_ev_per_atom": -7.59, "volume_a3_per_atom": 14.78, "lattice": [[8.684, -0.010, -0.006], [8.226, 2.782, -0.006], [8.226, 1.349, 2.433]], "species": ["Al", "Al", "Os", "Os"], "fractional_positions": [[0.753, 0.753, 0.753], [0.997, 0.997, 0.997], [0.501, 0.501, 0.501], [0.249, 0.249, 0.249]]}



{"formula": "SrHgPbCl6", "functional": "GGA-PBE", "state": "relaxed", "formation_energy_uncorrected_ev_per_atom": -1.373, "volume_a3_per_atom": 31.13, "lattice": [[-6.226, 2.703, 2.251], [0.437, -3.098, -6.430], [-2.973, -11.158, 5.174]], "species": ["Cl", "Cl", "Cl", "Cl", "Cl", "Cl", "Cl", "Cl", "Cl", "Cl", "Cl", "Cl", "Sr", "Sr", "Pb", "Pb", "Hg", "Hg"], "fractional_positions": [[0.979, 0.647, 0.373], [0.021, 0.668, 0.873], [0.668, 0.021, 0.373], [0.332, 0.353, 0.873], [0.647, 0.668, 0.627], [0.668, 0.647, 0.127], [0.332, 0.979, 0.627], [0.021, 0.353, 0.627], [0.353, 0.332, 0.373], [0.647, 0.979, 0.873], [0.979, 0.332, 0.127], [0.353, 0.021, 0.127], [0.667, 0.333, 0.750], [0.333, 0.667, 0.250], [0.000, 0.000, 0.500], [0.000, 0.000, 0.000], [0.333, 0.667, 0.750], [0.667, 0.333, 0.250]]}



{"formula": "LiHfSbAu", "functional": "GGA-PBE", "state": "relaxed", "formation_energy_uncorrected_ev_per_atom": -0.374, "volume_a3_per_atom": 19.84, "lattice": [[-4.622, -1.229, 0.631], [-1.525, -1.513, 4.319], [-2.900, 2.800, 2.650]], "species": ["Li", "Hf", "Au", "Sb"], "fractional_positions": [[0.750, 0.750, 0.750], [0.250, 0.250, 0.250], [0.000, 0.000, 0.000], [0.500, 0.500, 0.500]]}



{"formula": "SmThCdGa", "functional": "GGA-PBE", "state": "relaxed", "energy_ev_per_atom": -4.34, "volume_a3_per_atom": 26.43, "lattice": [[5.307, 0.000, 0.000], [2.654, 4.596, 0.000], [2.654, 1.532, 4.333]], "species": ["Th", "Ga", "Sm", "Cd"], "fractional_positions": [[0.750, 0.750, 0.750], [0.000, 0.000, 0.000], [0.250, 0.250, 0.250], [0.500, 0.500, 0.500]]}



{"formula": "Sm3DyEr2", "functional": "GGA-PBE", "state": "relaxed", "energy_ev_per_atom": -4.65, "volume_a3_per_atom": 32.32, "lattice": [[6.954, -1.156, -1.479], [-4.108, 9.357, -0.383], [-2.156, 0.714, 6.837]], "species": ["Er", "Er", "Er", "Er", "Sm", "Sm", "Sm", "Sm", "Sm", "Sm", "Dy", "Dy"], "fractional_positions": [[0.304, 0.667, 0.360], [0.304, 0.666, 0.860], [0.696, 0.333, 0.640], [0.696, 0.334, 0.140], [0.746, 0.998, 0.249], [0.805, 0.665, 0.361], [0.195, 0.335, 0.639], [0.254, 0.002, 0.751], [0.194, 0.334, 0.139], [0.806, 0.666, 0.861], [0.253, 0.002, 0.251], [0.747, 0.998, 0.749]]}



{"formula": "ZrTlSb2", "functional": "GGA-PBE", "state": "relaxed", "formation_energy_uncorrected_ev_per_atom": -0.192, "volume_a3_per_atom": 27.50, "lattice": [[-10.378, -4.343, 1.176], [-8.962, -6.880, -0.544], [-8.644, -6.731, 2.814]], "species": ["Zr", "Sb", "Sb", "Tl"], "fractional_positions": [[0.750, 0.750, 0.750], [0.013, 0.013, 0.013], [0.487, 0.487, 0.487], [0.250, 0.250, 0.250]]}



{"formula": "SrHg2SI", "functional": "GGA-PBE", "state": "relaxed", "formation_energy_uncorrected_ev_per_atom": 0.074, "volume_a3_per_atom": 39.47, "lattice": [[6.136, 0.000, 0.000], [0.000, 5.241, 0.000], [0.000, 0.000, 6.136]], "species": ["Hg", "Hg", "I", "S", "Sr"], "fractional_positions": [[0.000, 0.000, 0.500], [0.500, 0.000, 0.000], [0.000, 0.000, 0.000], [0.000, 0.500, 0.000], [0.500, 0.500, 0.500]]}



{"formula": "YTm2Cu2", "functional": "GGA-PBE", "state": "relaxed", "energy_ev_per_atom": -4.85, "volume_a3_per_atom": 23.81, "lattice": [[-2.218, -0.109, -3.943], [0.734, -4.906, -0.277], [-9.282, -0.418, 5.232]], "species": ["Tm", "Tm", "Tm", "Tm", "Cu", "Cu", "Cu", "Cu", "Y", "Y"], "fractional_positions": [[0.250, 0.845, 0.888], [0.250, 0.251, 0.503], [0.750, 0.155, 0.112], [0.750, 0.749, 0.497], [0.750, 0.213, 0.362], [0.250, 0.787, 0.638], [0.750, 0.626, 0.011], [0.250, 0.374, 0.989], [0.250, 0.689, 0.240], [0.750, 0.311, 0.760]]}



{"formula": "Hf3AlTl", "functional": "GGA-PBE", "state": "relaxed", "energy_ev_per_atom": -5.87, "volume_a3_per_atom": 28.61, "lattice": [[5.230, 0.000, 0.000], [0.000, 5.230, 0.000], [0.000, 0.000, 5.230]], "species": ["Hf", "Hf", "Hf", "Tl", "Al"], "fractional_positions": [[0.500, 0.000, 0.000], [0.000, 0.000, 0.500], [0.000, 0.500, 0.000], [0.000, 0.000, 0.000], [0.500, 0.500, 0.500]]}